Entry 1:
A plane-wave DFT calculation with PBE was carried out for a geometry-optimized MnBe4Ga structure.

Geometry as extended XYZ:
```
6
Lattice="-0.275 4.000 1.548 -3.746 1.464 1.518 -0.506 0.641 4.220" Properties=species:S:1:pos:R:3 pbc="T T T"
Be -2.838 3.827 4.568
Be -2.581 3.502 2.426
Be -0.937 3.084 3.797
Be -2.698 1.797 3.782
Ga -1.132 1.526 1.822
Mn 0.000 0.000 0.000
```

ΔH_f (0 K)	-0.38	eV per formula unit
space-group type	F-43m (216)

***

Entry 2:
A plane-wave DFT calculation with PBE was carried out for a geometry-optimized Cs2Sr4Ir structure.

Geometry as extended XYZ:
```
7
Lattice="6.043 0.000 0.000 0.000 6.043 0.000 3.022 3.022 12.488" Properties=species:S:1:pos:R:3 pbc="T T T"
Sr 0.000 3.022 0.000
Sr 3.022 0.000 0.000
Sr 3.022 3.022 9.657
Sr 6.043 6.043 2.831
Cs 6.043 6.043 7.871
Cs 3.022 3.022 4.618
Ir 0.000 0.000 0.000
```

ΔH_f (0 K)	-0.03	eV per formula unit
space-group type	I4/mmm (139)

***

Entry 3:
A plane-wave DFT calculation with PBE was carried out for a geometry-optimized TiMnRh2Se structure.

Geometry as extended XYZ:
```
5
Lattice="-1.703 -3.727 2.052 3.309 0.233 3.169 -2.679 2.656 2.601" Properties=species:S:1:pos:R:3 pbc="T T T"
Rh -0.851 -1.863 1.026
Rh -1.339 1.328 1.301
Mn -0.536 -0.419 3.911
Se 0.000 0.000 0.000
Ti 1.654 0.116 1.585
```

space-group type	P4/mmm (123)
electronic total energy	-33.40	eV per cell

***

Entry 4:
A plane-wave DFT calculation with PBE was carried out for a geometry-optimized LiCu6Si2 structure.

Geometry as extended XYZ:
```
9
Lattice="3.854 0.000 0.000 0.000 3.854 0.000 0.000 0.000 8.269" Properties=species:S:1:pos:R:3 pbc="T T T"
Li 0.000 0.000 0.000
Cu 0.000 1.927 5.812
Cu 1.927 0.000 2.457
Cu 0.000 0.000 4.134
Cu 1.927 1.927 4.134
Cu 0.000 1.927 2.457
Cu 1.927 0.000 5.812
Si 1.927 1.927 1.148
Si 1.927 1.927 7.121
```

space-group type	P4/mmm (123)
electronic total energy	-37.71	eV per cell